(1)
# Tl3In2Hg6, optimized geometry, DFT PBE
# Total energy: -13.900 eV per formula unit
# Crystal system: tetragonal
# Offset from the most stable computed form: 0.039 eV/atom
# Total magnetic moment: 0.0 μB per formula unit
# ρ: 10.45 Mg/m³
# ΔE_f: 0.044 eV per atom
data_Tl3In2Hg6
_symmetry_space_group_name_H-M 'I 4/m m m'
_symmetry_Int_Tables_number 139
_symmetry_space_group_name_Hall '-I 4 2'
_cell_length_a 4.327
_cell_length_b 4.327
_cell_length_c 34.744
_cell_angle_alpha 90.00
_cell_angle_beta 90.00
_cell_angle_gamma 90.00
loop_
_atom_site_label
_atom_site_fract_x
_atom_site_fract_y
_atom_site_fract_z
_atom_site_occupancy
Tl1 0.000 0.000 0.000 1
Tl2 0.000 0.000 0.186 1
In1 0.000 0.000 0.455 1
Hg1 0.000 0.000 0.281 1
Hg2 0.000 0.500 0.111 1


(2)
# TlInHg14, optimized geometry, DFT PBE
# Total energy: -9.440 eV per formula unit
# Crystal system: orthorhombic
# Total magnetic moment: 0.0 μB per formula unit
# ρ: 11.74 Mg/m³
# ΔE_f: -0.007 eV per atom
data_TlInHg14
_symmetry_space_group_name_H-M 'A m m 2'
_symmetry_Int_Tables_number 38
_symmetry_space_group_name_Hall 'A 2 -2'
_cell_length_a 10.889
_cell_length_b 6.994
_cell_length_c 11.613
_cell_angle_alpha 90.00
_cell_angle_beta 90.00
_cell_angle_gamma 90.00
loop_
_atom_site_label
_atom_site_fract_x
_atom_site_fract_y
_atom_site_fract_z
_atom_site_occupancy
Tl1 0.000 0.000 0.000 1
In1 0.000 0.000 0.501 1
Hg1 0.000 0.247 0.251 1
Hg2 0.249 0.000 0.669 1
Hg3 0.256 0.000 0.168 1
Hg4 0.257 0.247 0.417 1
Hg5 0.500 0.000 0.492 1
Hg6 0.500 0.000 0.989 1
Hg7 0.500 0.248 0.738 1


(3)
# Tl3In2Hg2, optimized geometry, DFT PBE
# Total energy: -13.150 eV per formula unit
# Crystal system: orthorhombic
# Offset from the most stable computed form: 0.000 eV/atom
# Total magnetic moment: 0.0 μB per formula unit
# ρ: 10.27 Mg/m³
# ΔE_f: 0.004 eV per atom
data_Tl3In2Hg2
_symmetry_space_group_name_H-M 'I m m m'
_symmetry_Int_Tables_number 71
_symmetry_space_group_name_Hall '-I 2 2'
_cell_length_a 3.383
_cell_length_b 4.938
_cell_length_c 24.074
_cell_angle_alpha 90.00
_cell_angle_beta 90.00
_cell_angle_gamma 90.00
loop_
_atom_site_label
_atom_site_fract_x
_atom_site_fract_y
_atom_site_fract_z
_atom_site_occupancy
Tl1 0.000 0.000 0.000 1
Tl2 0.000 0.500 0.210 1
In1 0.000 0.000 0.428 1
Hg1 0.000 0.500 0.356 1


(4)
# TlInHg2, optimized geometry, DFT PBE
# Total energy: -5.723 eV per formula unit
# Crystal system: trigonal
# Total magnetic moment: 0.0 μB per formula unit
# ρ: 10.87 Mg/m³
# ΔE_f: -0.004 eV per atom
data_TlInHg2
_symmetry_space_group_name_H-M 'R -3 m'
_symmetry_Int_Tables_number 166
_symmetry_space_group_name_Hall '-R 3 2"'
_cell_length_a 3.4231
_cell_length_b 3.4231
_cell_length_c 32.5395
_cell_angle_alpha 90.00
_cell_angle_beta 90.00
_cell_angle_gamma 120.00
loop_
_atom_site_label
_atom_site_fract_x
_atom_site_fract_y
_atom_site_fract_z
_atom_site_occupancy
Tl1 0.0000 0.0000 0.0000 1
In1 0.0000 0.0000 0.5000 1
Hg1 0.0000 0.0000 0.2480 1


(5)
# Tl2InHg, optimized geometry, DFT PBE
# Total energy: -7.726 eV per formula unit
# Crystal system: monoclinic
# Offset from the most stable computed form: 0.011 eV/atom
# Total magnetic moment: 0.0 μB per formula unit
# ρ: 10.32 Mg/m³
# ΔE_f: 0.012 eV per atom
data_Tl2InHg
_symmetry_space_group_name_H-M 'C 1 m 1'
_symmetry_Int_Tables_number 8
_symmetry_space_group_name_Hall 'C -2y'
_cell_length_a 11.849
_cell_length_b 3.855
_cell_length_c 5.808
_cell_angle_alpha 90.00
_cell_angle_beta 118.55
_cell_angle_gamma 90.00
loop_
_atom_site_label
_atom_site_fract_x
_atom_site_fract_y
_atom_site_fract_z
_atom_site_occupancy
Tl1 0.000 0.000 0.000 1
Tl2 0.233 0.000 0.741 1
In1 0.476 0.000 0.476 1
Hg1 0.248 0.500 0.257 1


(6)
# Tl5In8Hg, optimized geometry, DFT PBE
# Total energy: -32.945 eV per formula unit
# Crystal system: tetragonal
# Total magnetic moment: 0.0 μB per formula unit
# ρ: 8.30 Mg/m³
# ΔE_f: 0.078 eV per atom
data_Tl5In8Hg
_symmetry_space_group_name_H-M 'I -4'
_symmetry_Int_Tables_number 82
_symmetry_space_group_name_Hall 'I -4'
_cell_length_a 10.742
_cell_length_b 10.742
_cell_length_c 7.422
_cell_angle_alpha 90.00
_cell_angle_beta 90.00
_cell_angle_gamma 90.00
loop_
_atom_site_label
_atom_site_fract_x
_atom_site_fract_y
_atom_site_fract_z
_atom_site_occupancy
Tl1 0.000 0.000 0.000 1
Tl2 0.094 0.155 0.361 1
In1 0.047 0.653 0.917 1
In2 0.175 0.187 0.780 1
Hg1 0.000 0.500 0.250 1


(7)
# TlIn5Hg4, optimized geometry, DFT PBE
# Total energy: -17.191 eV per formula unit
# Crystal system: tetragonal
# Offset from the most stable computed form: 0.005 eV/atom
# Total magnetic moment: 0.0 μB per formula unit
# ρ: 9.71 Mg/m³
# ΔE_f: 0.008 eV per atom
data_TlIn5Hg4
_symmetry_space_group_name_H-M 'P 4/m m m'
_symmetry_Int_Tables_number 123
_symmetry_space_group_name_Hall '-P 4 2'
_cell_length_a 3.903
_cell_length_b 3.903
_cell_length_c 17.753
_cell_angle_alpha 90.00
_cell_angle_beta 90.00
_cell_angle_gamma 90.00
loop_
_atom_site_label
_atom_site_fract_x
_atom_site_fract_y
_atom_site_fract_z
_atom_site_occupancy
Tl1 0.000 0.000 0.000 1
In1 0.500 0.500 0.113 1
In2 0.500 0.500 0.307 1
In3 0.500 0.500 0.500 1
Hg1 0.000 0.000 0.208 1
Hg2 0.000 0.000 0.403 1


(8)
# TlInHg2, optimized geometry, DFT PBE
# Total energy: -5.698 eV per formula unit
# Crystal system: monoclinic
# Total magnetic moment: 0.0 μB per formula unit
# ρ: 10.60 Mg/m³
# ΔE_f: 0.003 eV per atom
data_TlInHg2
_symmetry_space_group_name_H-M 'P 1 m 1'
_symmetry_Int_Tables_number 6
_symmetry_space_group_name_Hall 'P -2y'
_cell_length_a 3.804
_cell_length_b 5.045
_cell_length_c 6.072
_cell_angle_alpha 90.00
_cell_angle_beta 104.51
_cell_angle_gamma 90.00
loop_
_atom_site_label
_atom_site_fract_x
_atom_site_fract_y
_atom_site_fract_z
_atom_site_occupancy
Tl1 0.000 0.000 0.000 1
In1 0.154 0.500 0.569 1
Hg1 0.545 0.500 0.095 1
Hg2 0.599 0.000 0.487 1


(9)
# TlIn2Hg2, optimized geometry, DFT PBE
# Total energy: -8.397 eV per formula unit
# Crystal system: tetragonal
# Offset from the most stable computed form: 0.000 eV/atom
# Total magnetic moment: 0.0 μB per formula unit
# ρ: 9.88 Mg/m³
# ΔE_f: 0.010 eV per atom
data_TlIn2Hg2
_symmetry_space_group_name_H-M 'P 4/m b m'
_symmetry_Int_Tables_number 127
_symmetry_space_group_name_Hall '-P 4 2ab'
_cell_length_a 8.951
_cell_length_b 8.951
_cell_length_c 3.505
_cell_angle_alpha 90.00
_cell_angle_beta 90.00
_cell_angle_gamma 90.00
loop_
_atom_site_label
_atom_site_fract_x
_atom_site_fract_y
_atom_site_fract_z
_atom_site_occupancy
Tl1 0.000 0.000 0.000 1
In1 0.144 0.356 0.500 1
Hg1 0.153 0.653 0.000 1


(10)
# TlIn12Hg7, optimized geometry, DFT PBE
# Total energy: -36.681 eV per formula unit
# Crystal system: trigonal
# Offset from the most stable computed form: 0.003 eV/atom
# Total magnetic moment: 0.0 μB per formula unit
# ρ: 9.01 Mg/m³
# ΔE_f: 0.033 eV per atom
data_TlIn12Hg7
_symmetry_space_group_name_H-M 'R -3'
_symmetry_Int_Tables_number 148
_symmetry_space_group_name_Hall '-R 3'
_cell_length_a 14.0641
_cell_length_b 14.0641
_cell_length_c 9.6433
_cell_angle_alpha 90.00
_cell_angle_beta 90.00
_cell_angle_gamma 120.00
loop_
_atom_site_label
_atom_site_fract_x
_atom_site_fract_y
_atom_site_fract_z
_atom_site_occupancy
Tl1 0.0000 0.0000 0.0000 1
In1 0.0512 0.8151 0.5873 1
In2 0.0532 0.8278 0.2409 1
Hg1 0.0000 0.0000 0.5000 1
Hg2 0.0527 0.8071 0.9123 1


(11)
# TlInHg, optimized geometry, DFT PBE
# Total energy: -5.370 eV per formula unit
# Crystal system: triclinic
# Total magnetic moment: 0.0 μB per formula unit
# ρ: 10.11 Mg/m³
# ΔE_f: 0.012 eV per atom
data_TlInHg
_symmetry_space_group_name_H-M 'P 1'
_symmetry_Int_Tables_number 1
_symmetry_space_group_name_Hall 'P 1'
_cell_length_a 5.576
_cell_length_b 6.075
_cell_length_c 6.412
_cell_angle_alpha 91.17
_cell_angle_beta 113.95
_cell_angle_gamma 117.19
loop_
_atom_site_label
_atom_site_fract_x
_atom_site_fract_y
_atom_site_fract_z
_atom_site_occupancy
Tl1 0.000 0.000 0.000 1
Tl2 0.189 0.825 0.556 1
In1 0.494 0.466 0.529 1
In2 0.816 0.155 0.478 1
Hg1 0.357 0.656 0.058 1
Hg2 0.694 0.362 0.024 1


(12)
# Tl6InHg2, optimized geometry, DFT PBE
# Total energy: -17.446 eV per formula unit
# Crystal system: hexagonal
# Offset from the most stable computed form: 0.003 eV/atom
# Total magnetic moment: 0.0 μB per formula unit
# ρ: 10.80 Mg/m³
# ΔE_f: 0.010 eV per atom
data_Tl6InHg2
_symmetry_space_group_name_H-M 'P -6 m 2'
_symmetry_Int_Tables_number 187
_symmetry_space_group_name_Hall 'P -6 2'
_cell_length_a 3.4644
_cell_length_b 3.4644
_cell_length_c 25.7732
_cell_angle_alpha 90.00
_cell_angle_beta 90.00
_cell_angle_gamma 120.00
loop_
_atom_site_label
_atom_site_fract_x
_atom_site_fract_y
_atom_site_fract_z
_atom_site_occupancy
Tl1 0.0000 0.0000 0.0633 1
Tl2 0.0000 0.0000 0.2774 1
Tl3 0.3333 0.6667 0.3925 1
In1 0.0000 0.0000 0.5000 1
Hg1 0.3333 0.6667 0.1700 1